1.
Computed, not measured: a geometry-optimized LaZnMo3 structure at the PBE level of DFT.

Results
Uncorrected energy (eV per atom): -6.40
ρ (kg/m³): 7596
Formation energy from the elements (eV/atom): 1.339
Excess energy over the best structure of this formula in the dataset (meV/atom): 0

```
data_LaZnMo3
_chemical_formula_sum 'La1 Zn1 Mo3'
_space_group_name_H-M_alt 'P 1'
_space_group_IT_number 1
_space_group_name_Hall 'P 1'
_cell_length_a 4.756
_cell_length_b 4.756
_cell_length_c 4.756
_cell_angle_alpha 90.00
_cell_angle_beta 90.00
_cell_angle_gamma 90.00
loop_
_atom_site_label
_atom_site_type_symbol
_atom_site_fract_x
_atom_site_fract_y
_atom_site_fract_z
La1 La 0.000 0.000 0.000
Zn1 Zn 0.500 0.500 0.500
Mo1 Mo 0.000 0.500 0.500
Mo2 Mo 0.500 0.000 0.500
Mo3 Mo 0.500 0.500 0.000
```


2.
Computed, not measured: a geometry-optimized LaZnMo2 structure at the PBE level of DFT.

Results
Uncorrected energy (eV per atom): -6.83
ρ (kg/m³): 8246
Formation energy from the elements (eV/atom): 0.131

```
data_LaZnMo2
_chemical_formula_sum 'La1 Zn1 Mo2'
_space_group_name_H-M_alt 'P 1'
_space_group_IT_number 1
_space_group_name_Hall 'P 1'
_cell_length_a 3.271
_cell_length_b 3.273
_cell_length_c 7.452
_cell_angle_alpha 90.00
_cell_angle_beta 90.03
_cell_angle_gamma 90.00
loop_
_atom_site_label
_atom_site_type_symbol
_atom_site_fract_x
_atom_site_fract_y
_atom_site_fract_z
La1 La 0.000 0.000 0.000
Zn1 Zn 0.499 0.500 0.680
Mo1 Mo 0.499 0.500 0.299
Mo2 Mo 0.998 0.000 0.475
```


3.
Computed, not measured: a geometry-optimized LaZnMo3 structure at the PBE level of DFT.

Results
Uncorrected energy (eV per atom): -5.48
ρ (kg/m³): 7420
Formation energy from the elements (eV/atom): 2.264
Excess energy over the best structure of this formula in the dataset (meV/atom): 925

```
data_LaZnMo3
_chemical_formula_sum 'La1 Zn1 Mo3'
_space_group_name_H-M_alt 'P 1'
_space_group_IT_number 1
_space_group_name_Hall 'P 1'
_cell_length_a 4.793
_cell_length_b 4.793
_cell_length_c 4.793
_cell_angle_alpha 90.00
_cell_angle_beta 90.00
_cell_angle_gamma 90.00
loop_
_atom_site_label
_atom_site_type_symbol
_atom_site_fract_x
_atom_site_fract_y
_atom_site_fract_z
La1 La 0.000 0.000 0.000
Zn1 Zn 0.500 0.500 0.500
Mo1 Mo 0.000 0.000 0.500
Mo2 Mo 0.000 0.500 0.000
Mo3 Mo 0.500 0.000 0.000
```


4.
Computed, not measured: a geometry-optimized LaZn3Mo structure at the PBE level of DFT.

Results
Uncorrected energy (eV per atom): -2.27
ρ (kg/m³): 4216
Formation energy from the elements (eV/atom): 1.649
Excess energy over the best structure of this formula in the dataset (meV/atom): 1391

```
data_LaZn3Mo
_chemical_formula_sum 'La1 Zn3 Mo1'
_space_group_name_H-M_alt 'P 1'
_space_group_IT_number 1
_space_group_name_Hall 'P 1'
_cell_length_a 5.537
_cell_length_b 5.537
_cell_length_c 5.537
_cell_angle_alpha 90.00
_cell_angle_beta 90.00
_cell_angle_gamma 90.00
loop_
_atom_site_label
_atom_site_type_symbol
_atom_site_fract_x
_atom_site_fract_y
_atom_site_fract_z
La1 La 0.000 0.000 0.000
Zn1 Zn 0.000 0.000 0.500
Zn2 Zn 0.000 0.500 0.000
Zn3 Zn 0.500 0.000 0.000
Mo1 Mo 0.500 0.500 0.500
```


5.
Computed, not measured: a geometry-optimized LaZnMo2 structure at the PBE level of DFT.

Results
Uncorrected energy (eV per atom): -6.64
ρ (kg/m³): 8510
Formation energy from the elements (eV/atom): 0.324

```
data_LaZnMo2
_chemical_formula_sum 'La1 Zn1 Mo2'
_space_group_name_H-M_alt 'P 1'
_space_group_IT_number 1
_space_group_name_Hall 'P 1'
_cell_length_a 2.954
_cell_length_b 2.954
_cell_length_c 9.601
_cell_angle_alpha 90.00
_cell_angle_beta 90.00
_cell_angle_gamma 112.62
loop_
_atom_site_label
_atom_site_type_symbol
_atom_site_fract_x
_atom_site_fract_y
_atom_site_fract_z
La1 La 0.000 0.000 0.000
Zn1 Zn 0.500 0.500 0.291
Mo1 Mo 0.000 0.000 0.516
Mo2 Mo 0.500 0.500 0.720
```


6.
Computed, not measured: a geometry-optimized LaZnMo2 structure at the PBE level of DFT.

Results
Uncorrected energy (eV per atom): -6.42
ρ (kg/m³): 8779
Formation energy from the elements (eV/atom): 0.548

```
data_LaZnMo2
_chemical_formula_sum 'La1 Zn1 Mo2'
_space_group_name_H-M_alt 'P 1'
_space_group_IT_number 1
_space_group_name_Hall 'P 1'
_cell_length_a 5.594
_cell_length_b 5.594
_cell_length_c 2.958
_cell_angle_alpha 102.67
_cell_angle_beta 102.67
_cell_angle_gamma 116.91
loop_
_atom_site_label
_atom_site_type_symbol
_atom_site_fract_x
_atom_site_fract_y
_atom_site_fract_z
La1 La 0.000 0.000 0.000
Zn1 Zn 0.500 0.500 0.000
Mo1 Mo 0.000 0.500 0.500
Mo2 Mo 0.500 0.000 0.500
```


7.
Computed, not measured: a geometry-optimized LaZnMo4 structure at the PBE level of DFT.

Results
Uncorrected energy (eV per atom): -7.80
ρ (kg/m³): 8503
Formation energy from the elements (eV/atom): 0.456

```
data_LaZnMo4
_chemical_formula_sum 'La1 Zn1 Mo4'
_space_group_name_H-M_alt 'P 1'
_space_group_IT_number 1
_space_group_name_Hall 'P 1'
_cell_length_a 5.456
_cell_length_b 5.456
_cell_length_c 5.456
_cell_angle_alpha 60.00
_cell_angle_beta 60.00
_cell_angle_gamma 60.00
loop_
_atom_site_label
_atom_site_type_symbol
_atom_site_fract_x
_atom_site_fract_y
_atom_site_fract_z
La1 La 0.000 0.000 0.000
Zn1 Zn 0.250 0.250 0.250
Mo1 Mo 0.125 0.625 0.625
Mo2 Mo 0.625 0.125 0.625
Mo3 Mo 0.625 0.625 0.125
Mo4 Mo 0.625 0.625 0.625
```


8.
Computed, not measured: a geometry-optimized LaZn3Mo structure at the PBE level of DFT.

Results
Uncorrected energy (eV per atom): -3.66
ρ (kg/m³): 6171
Formation energy from the elements (eV/atom): 0.257
Excess energy over the best structure of this formula in the dataset (meV/atom): 0

```
data_LaZn3Mo
_chemical_formula_sum 'La1 Zn3 Mo1'
_space_group_name_H-M_alt 'P 1'
_space_group_IT_number 1
_space_group_name_Hall 'P 1'
_cell_length_a 4.877
_cell_length_b 4.877
_cell_length_c 4.877
_cell_angle_alpha 90.00
_cell_angle_beta 90.00
_cell_angle_gamma 90.00
loop_
_atom_site_label
_atom_site_type_symbol
_atom_site_fract_x
_atom_site_fract_y
_atom_site_fract_z
La1 La 0.000 0.000 0.000
Zn1 Zn 0.000 0.500 0.500
Zn2 Zn 0.500 0.000 0.500
Zn3 Zn 0.500 0.500 0.000
Mo1 Mo 0.500 0.500 0.500
```


9.
Computed, not measured: a geometry-optimized LaZr3Mo structure at the PBE level of DFT.

Results
Uncorrected energy (eV per atom): -6.52
ρ (kg/m³): 6562
Formation energy from the elements (eV/atom): 1.760
Excess energy over the best structure of this formula in the dataset (meV/atom): 1337

```
data_LaZr3Mo
_chemical_formula_sum 'La1 Zr3 Mo1'
_space_group_name_H-M_alt 'P 1'
_space_group_IT_number 1
_space_group_name_Hall 'P 1'
_cell_length_a 5.049
_cell_length_b 5.049
_cell_length_c 5.049
_cell_angle_alpha 90.00
_cell_angle_beta 90.00
_cell_angle_gamma 90.00
loop_
_atom_site_label
_atom_site_type_symbol
_atom_site_fract_x
_atom_site_fract_y
_atom_site_fract_z
La1 La 0.000 0.000 0.000
Zr1 Zr 0.000 0.000 0.500
Zr2 Zr 0.000 0.500 0.000
Zr3 Zr 0.500 0.000 0.000
Mo1 Mo 0.500 0.500 0.500
```


10.
Computed, not measured: a geometry-optimized LaZrMo2 structure at the PBE level of DFT.

Results
Uncorrected energy (eV per atom): -8.45
ρ (kg/m³): 7939
Formation energy from the elements (eV/atom): 0.332
Excess energy over the best structure of this formula in the dataset (meV/atom): 174

```
data_LaZrMo2
_chemical_formula_sum 'La1 Zr1 Mo2'
_space_group_name_H-M_alt 'P 1'
_space_group_IT_number 1
_space_group_name_Hall 'P 1'
_cell_length_a 3.167
_cell_length_b 4.272
_cell_length_c 6.674
_cell_angle_alpha 90.00
_cell_angle_beta 102.13
_cell_angle_gamma 90.00
loop_
_atom_site_label
_atom_site_type_symbol
_atom_site_fract_x
_atom_site_fract_y
_atom_site_fract_z
La1 La 0.000 0.000 0.000
Zr1 Zr 0.353 0.500 0.663
Mo1 Mo 0.542 0.500 0.284
Mo2 Mo 0.901 0.000 0.447
```


11.
Computed, not measured: a geometry-optimized LaZrMo structure at the PBE level of DFT.

Results
Uncorrected energy (eV per atom): -7.85
ρ (kg/m³): 7392
Formation energy from the elements (eV/atom): 0.254
Excess energy over the best structure of this formula in the dataset (meV/atom): 0

```
data_LaZrMo
_chemical_formula_sum 'La1 Zr1 Mo1'
_space_group_name_H-M_alt 'P 1'
_space_group_IT_number 1
_space_group_name_Hall 'P 1'
_cell_length_a 6.468
_cell_length_b 6.468
_cell_length_c 6.468
_cell_angle_alpha 148.60
_cell_angle_beta 148.60
_cell_angle_gamma 45.01
loop_
_atom_site_label
_atom_site_type_symbol
_atom_site_fract_x
_atom_site_fract_y
_atom_site_fract_z
La1 La 0.000 0.000 0.000
Zr1 Zr 0.283 0.283 0.000
Mo1 Mo 0.670 0.670 0.000
```


12.
Computed, not measured: a geometry-optimized LaZrMo2 structure at the PBE level of DFT.

Results
Uncorrected energy (eV per atom): -8.31
ρ (kg/m³): 8246
Formation energy from the elements (eV/atom): 0.472
Excess energy over the best structure of this formula in the dataset (meV/atom): 315

```
data_LaZrMo2
_chemical_formula_sum 'La1 Zr1 Mo2'
_space_group_name_H-M_alt 'P 1'
_space_group_IT_number 1
_space_group_name_Hall 'P 1'
_cell_length_a 3.342
_cell_length_b 4.289
_cell_length_c 5.929
_cell_angle_alpha 90.00
_cell_angle_beta 90.00
_cell_angle_gamma 90.00
loop_
_atom_site_label
_atom_site_type_symbol
_atom_site_fract_x
_atom_site_fract_y
_atom_site_fract_z
La1 La 0.000 0.000 0.000
Zr1 Zr 0.500 0.500 0.664
Mo1 Mo 0.000 0.000 0.434
Mo2 Mo 0.500 0.500 0.256
```


Please write out number 9 again, unchanged.
Computed, not measured: a geometry-optimized LaZr3Mo structure at the PBE level of DFT.

Results
Uncorrected energy (eV per atom): -6.52
ρ (kg/m³): 6562
Formation energy from the elements (eV/atom): 1.760
Excess energy over the best structure of this formula in the dataset (meV/atom): 1337

```
data_LaZr3Mo
_chemical_formula_sum 'La1 Zr3 Mo1'
_space_group_name_H-M_alt 'P 1'
_space_group_IT_number 1
_space_group_name_Hall 'P 1'
_cell_length_a 5.049
_cell_length_b 5.049
_cell_length_c 5.049
_cell_angle_alpha 90.00
_cell_angle_beta 90.00
_cell_angle_gamma 90.00
loop_
_atom_site_label
_atom_site_type_symbol
_atom_site_fract_x
_atom_site_fract_y
_atom_site_fract_z
La1 La 0.000 0.000 0.000
Zr1 Zr 0.000 0.000 0.500
Zr2 Zr 0.000 0.500 0.000
Zr3 Zr 0.500 0.000 0.000
Mo1 Mo 0.500 0.500 0.500
```


Q: Look up the formation energy from the elements of the first one.
A: 1.339 eV/atom